Density functional theory data (PBE) for a relaxed structure of Pr2Sm3NpN6.

abc: 6.222 10.772 6.182
angles: 90.00 109.62 90.00
Space group C2/m (No. 12)
Unique sites:
Pr 0.000 0.167 0.000 [4 per cell]
Sm 0.000 0.000 0.500 [2 per cell]
Sm 0.000 0.335 0.500 [4 per cell]
Np 0.000 0.500 0.000 [2 per cell]
N 0.223 0.500 0.760 [4 per cell]
N 0.230 0.349 0.238 [8 per cell]

Output
- raw formation energy (eV/atom) = -1.378
- size of the total moment (μB per atom) = 0.199
- DOS at the Fermi energy (states/eV/f.u.) = 6.72
- E_tot (eV/cell) = -206.30